(1)
The following is a DFT calculation (PBE-GGA) of an optimized crystal structure of CaMg14Co.

Properties
energy of formation	0.070	eV/atom
energy above the lowest structure with this stoichiometry	0.8	kJ per mole of atoms
spin magnetization	1.02	μB/f.u.

a b c (Å): 6.3856 6.3856 10.2797
angles (deg): 90.00 90.00 120.00
Space group P-6m2 (No. 187)
Asymmetric unit:
Ca  0.0000  0.0000  0.0000 [1 per cell]
Mg  0.0112  0.5056  0.0000 [3 per cell]
Mg  0.1615  0.3230  0.2730 [6 per cell]
Mg  0.5051  0.0101  0.5000 [3 per cell]
Mg  0.6667  0.3333  0.2394 [2 per cell]
Co  0.0000  0.0000  0.5000 [1 per cell]

---

(2)
The following is a DFT calculation (PBE-GGA) of an optimized crystal structure of Tm2HgOs.

Properties
energy of formation	-0.309	eV/atom
energy above the lowest structure with this stoichiometry	12.6	kJ per mole of atoms
spin magnetization	0.00	μB/f.u.

a b c (Å): 6.998 6.998 6.998
angles (deg): 90.00 90.00 90.00
Space group Fm-3m (No. 225)
Asymmetric unit:
Tm  0.250  0.250  0.250 [8 per cell]
Hg  0.000  0.000  0.000 [4 per cell]
Os  0.000  0.000  0.500 [4 per cell]

---

(3)
The following is a DFT calculation (PBE-GGA) of an optimized crystal structure of FeCuRu2Rh.

Properties
energy of formation	1.905	eV/atom
spin magnetization	3.16	μB/f.u.

a b c (Å): 4.404 4.404 4.412
angles (deg): 90.00 90.00 90.00
Space group P4/mmm (No. 123)
Asymmetric unit:
Fe  0.000  0.000  0.000 [1 per cell]
Cu  0.500  0.500  0.500 [1 per cell]
Ru  0.000  0.500  0.500 [2 per cell]
Rh  0.500  0.500  0.000 [1 per cell]

---

(4)
The following is a DFT calculation (PBE-GGA) of an optimized crystal structure of MnAlV2.

Properties
energy of formation	-0.235	eV/atom
spin magnetization	0.15	μB/f.u.

a b c (Å): 2.998 4.169 8.283
angles (deg): 90.00 90.00 90.00
Space group Immm (No. 71)
Asymmetric unit:
Mn  0.000  0.000  0.000 [2 per cell]
Al  0.000  0.000  0.500 [2 per cell]
V  0.000  0.500  0.270 [4 per cell]

---

(5)
The following is a DFT calculation (PBE-GGA) of an optimized crystal structure of TbPr3Al8.

Properties
energy of formation	-0.480	eV/atom
energy above the lowest structure with this stoichiometry	1.1	kJ per mole of atoms
spin magnetization	0.00	μB/f.u.

a b c (Å): 5.6707 5.6707 9.3512
angles (deg): 90.00 90.00 120.00
Space group P3m1 (No. 156)
Asymmetric unit:
Tb  0.0000  0.0000  0.0000 [1 per cell]
Pr  0.0000  0.0000  0.3637 [1 per cell]
Pr  0.6667  0.3333  0.5007 [1 per cell]
Pr  0.6667  0.3333  0.8646 [1 per cell]
Al  0.1621  0.3242  0.6843 [3 per cell]
Al  0.3333  0.6667  0.4300 [1 per cell]
Al  0.3333  0.6667  0.9330 [1 per cell]
Al  0.5042  0.0084  0.1784 [3 per cell]

---

(6)
The following is a DFT calculation (PBE-GGA) of an optimized crystal structure of RbTi3B4O12.

Properties
formation energy from raw total energies	-2.59	eV per atom
spin magnetization	1.06	μB/f.u.

a b c (Å): 9.7014 9.7014 8.0818
angles (deg): 90.00 90.00 120.00
Space group R32 (No. 155, hexagonal axes)
Asymmetric unit:
Rb  0.0000  0.0000  0.0000 [3 per cell]
Ti  0.0000  0.5483  0.0000 [9 per cell]
B  0.0000  0.0000  0.5000 [3 per cell]
B  0.0000  0.4463  0.5000 [9 per cell]
O  0.0000  0.5898  0.5000 [9 per cell]
O  0.0000  0.8556  0.5000 [9 per cell]
O  0.0252  0.2248  0.2141 [18 per cell]

---

(7)
The following is a DFT calculation (PBE-GGA) of an optimized crystal structure of SrLiAlO3.

Properties
formation energy from raw total energies	-2.63	eV per atom
energy above the lowest structure with this stoichiometry	0.0	kJ per mole of atoms
spin magnetization	0.00	μB/f.u.

a b c (Å): 3.702 3.702 10.135
angles (deg): 90.00 90.00 90.00
Space group I4mm (No. 107)
Asymmetric unit:
Sr  0.000  0.000  0.000 [2 per cell]
Li  0.000  0.000  0.711 [2 per cell]
Al  0.000  0.000  0.333 [2 per cell]
O  0.000  0.000  0.514 [2 per cell]
O  0.000  0.500  0.296 [4 per cell]

---

(8)
The following is a DFT calculation (PBE-GGA) of an optimized crystal structure of Ca3Al3Ir2.

Properties
energy of formation	-0.614	eV/atom
spin magnetization	0.00	μB/f.u.

a b c (Å): 8.085 15.002 5.876
angles (deg): 90.00 90.00 90.00
Space group Pnma (No. 62)
Asymmetric unit:
Ca  0.043  0.109  0.106 [8 per cell]
Ca  0.196  0.250  0.614 [4 per cell]
Al  0.152  0.750  0.573 [4 per cell]
Al  0.169  0.037  0.618 [8 per cell]
Ir  0.119  0.599  0.385 [8 per cell]

---

Q: Number 7 is which compound?
A: SrLiAlO3

---

Q: Which value of spin magnetization does entry 1 give?
A: 1.02 μB/f.u.

---

Q: Number 8 is which compound?
A: Ca3Al3Ir2